(1)
A plane-wave DFT calculation with PBE-GGA was carried out for a geometry-optimized CaZrPt2 structure.

Output
total energy: -0.4813 Ry per atom
formation energy: -85.9 kJ/mol of atoms

Cell lengths 3.099, 5.027, 5.027 Å; angles 90.00, 90.00, 90.00 degrees
Sites, in units of the cell vectors:
Ca: 0.000 0.000 0.000
Zr: 0.000 0.500 0.498
Pt: 0.500 0.000 0.501
Pt: 0.500 0.500 0.997


(2)
A plane-wave DFT calculation with PBE-GGA was carried out for a geometry-optimized CaZrPt4 structure.

Output
total energy: -0.4856 Ry per atom
formation energy: -79.3 kJ/mol of atoms

Cell lengths 5.380, 5.380, 5.380 Å; angles 60.00, 60.00, 60.00 degrees
Sites, in units of the cell vectors:
Ca: 0.000 0.000 0.000
Zr: 0.250 0.250 0.250
Pt: 0.124 0.625 0.625
Pt: 0.625 0.124 0.625
Pt: 0.625 0.625 0.124
Pt: 0.625 0.625 0.625


(3)
A plane-wave DFT calculation with PBE-GGA was carried out for a geometry-optimized CaZrPt2 structure.

Output
total energy: -0.4511 Ry per atom
formation energy: -46.2 kJ/mol of atoms

Cell lengths 6.172, 6.172, 6.172 Å; angles 104.64, 104.64, 119.64 degrees
Sites, in units of the cell vectors:
Ca: 0.000 0.000 0.000
Ca: 0.750 0.250 0.500
Zr: 0.250 0.750 0.500
Zr: 0.500 0.500 0.000
Pt: 0.155 0.625 0.030
Pt: 0.375 0.405 0.530
Pt: 0.595 0.125 0.970
Pt: 0.875 0.845 0.470


(4)
A plane-wave DFT calculation with PBE-GGA was carried out for a geometry-optimized CaZrPt2 structure.

Output
total energy: -0.4672 Ry per atom
formation energy: -67.4 kJ/mol of atoms

Cell lengths 5.592, 5.592, 5.592 Å; angles 140.53, 134.41, 61.85 degrees
Sites, in units of the cell vectors:
Ca: 0.000 0.000 0.000
Zr: 0.738 0.238 0.500
Pt: 0.255 0.755 0.500
Pt: 0.512 0.512 0.000


(5)
A plane-wave DFT calculation with PBE-GGA was carried out for a geometry-optimized CaZrPt structure.

Output
total energy: -0.4384 Ry per atom
polymorph energy (0 for the lowest one): 0.944 eV/f.u.
formation energy: -42.0 kJ/mol of atoms

Cell lengths 4.727, 4.727, 4.727 Å; angles 60.00, 60.00, 60.00 degrees
Sites, in units of the cell vectors:
Ca: 0.000 0.000 0.000
Zr: 0.500 0.500 0.500
Pt: 0.750 0.750 0.750


(6)
A plane-wave DFT calculation with PBE-GGA was carried out for a geometry-optimized CaZrPt structure.

Output
total energy: -0.4354 Ry per atom
polymorph energy (0 for the lowest one): 1.068 eV/f.u.
formation energy: -38.0 kJ/mol of atoms

Cell lengths 4.506, 4.506, 4.384 Å; angles 90.00, 90.00, 120.00 degrees
Sites, in units of the cell vectors:
Ca: 0.000 0.000 0.000
Zr: 0.333 0.667 0.514
Pt: 0.667 0.333 0.420